Arrangement P

Here is SmLu2Hf after structural relaxation from Alexandria. Energies are from PBE-GGA.

Summary:
- symmetry = Fm-3m

Lattice parameters (Å, degrees): 5.4191 5.4191 5.4191 60.00 60.00 60.00
Sites, in units of the cell vectors:
Sm: 0.0000 0.0000 0.0000
Lu: 0.2500 0.2500 0.2500
Lu: 0.7500 0.7500 0.7500
Hf: 0.5000 0.5000 0.5000

***

Arrangement Q

Here is SmLu2Hf after structural relaxation from Alexandria. Energies are from PBE-GGA.

Summary:
- symmetry = P4/mmm

Lattice parameters (Å, degrees): 3.9023 3.9023 7.5330 90.00 90.00 90.00
Sites, in units of the cell vectors:
Sm: 0.0000 0.0000 0.0000
Lu: 0.5000 0.5000 0.2833
Lu: 0.5000 0.5000 0.7167
Hf: 0.0000 0.0000 0.5000

***

Q: Which of them is the most stable? A: arrangement Q.

***

Arrangement P

Here is Sm2LuHf after structural relaxation from Alexandria. Energies are from PBE-GGA.

Summary:
- symmetry = P4/mmm

Lattice parameters (Å, degrees): 4.0085 4.0085 7.2314 90.00 90.00 90.00
Sites, in units of the cell vectors:
Sm: 0.0000 0.0000 0.2272
Sm: 0.0000 0.0000 0.7728
Lu: 0.5000 0.5000 0.5000
Hf: 0.5000 0.5000 0.0000

***

Arrangement Q

Here is Sm2LuHf after structural relaxation from Alexandria. Energies are from PBE-GGA.

Summary:
- symmetry = P4/mmm

Lattice parameters (Å, degrees): 4.8958 4.8958 4.8151 90.00 90.00 90.00
Sites, in units of the cell vectors:
Sm: 0.0000 0.5000 0.0000
Sm: 0.5000 0.0000 0.0000
Lu: 0.0000 0.0000 0.5000
Hf: 0.5000 0.5000 0.5000

***

Q: Which of them is the most stable? A: arrangement Q.

***

Arrangement P

Here is LuHfSn2 after structural relaxation from Alexandria. Energies are from PBE-GGA.

Summary:
- symmetry = R-3m

Lattice parameters (Å, degrees): 10.1827 10.1827 10.1827 18.87 18.87 18.87
Sites, in units of the cell vectors:
Lu: 0.0000 0.0000 0.0000
Hf: 0.5000 0.5000 0.5000
Sn: 0.2467 0.2467 0.2467
Sn: 0.7533 0.7533 0.7533

***

Arrangement Q

Here is LuHfSn2 after structural relaxation from Alexandria. Energies are from PBE-GGA.

Summary:
- symmetry = P4/mmm

Lattice parameters (Å, degrees): 3.2958 3.2958 8.6521 90.00 90.00 90.00
Sites, in units of the cell vectors:
Lu: 0.0000 0.0000 0.0000
Hf: 0.0000 0.0000 0.5000
Sn: 0.5000 0.5000 0.2588
Sn: 0.5000 0.5000 0.7412

***

Arrangement R

Here is LuHfSn2 after structural relaxation from Alexandria. Energies are from PBE-GGA.

Summary:
- symmetry = P4/mmm

Lattice parameters (Å, degrees): 4.6513 4.6513 4.3346 90.00 90.00 90.00
Sites, in units of the cell vectors:
Lu: 0.0000 0.0000 0.0000
Hf: 0.5000 0.5000 0.0000
Sn: 0.0000 0.5000 0.5000
Sn: 0.5000 0.0000 0.5000

***

Q: Which of them is the most stable? A: arrangement Q.